# CaWO4

A PBEsol-optimized structure of CaWO4 (SCAN, Alexandria via LeMat-Bulk).

Computed properties:
Total magnetization, μB/f.u.: 0.00
DOS(E_F), states/eV/cell: 0.00
Formation energy (no corrections), eV/atom: -2.843
Symmetry: I4_1/a

```
CaWO4
1.0
-3.983 0.054 3.391
-2.524 -3.541 -2.908
5.689 -2.395 2.685
O W Ca
8 2 2
Direct
0.921 0.505 0.325
0.069 0.671 0.825
0.846 0.931 0.175
0.329 0.245 0.175
0.755 0.154 0.825
0.404 0.819 0.325
0.181 0.079 0.675
0.495 0.596 0.675
0.250 0.750 0.500
0.000 0.000 0.000
0.750 0.250 0.500
0.500 0.500 0.000
```